Here is a relaxed ReNi4Te crystal from the Alexandria database. Energies are from PBE-GGA.

The space-group type is F-43m. The formation energy from raw total energies is 0.367 eV per atom. The density of states at the Fermi level is 6.92 states/eV/f.u. The total DFT energy (no corrections) is -36.512 eV per cell.

Cell lengths 4.8097, 4.8097, 4.8097 Å; angles 60.00, 60.00, 60.00 degrees
Closest atoms and distances in Å follow each position.
Fractional coordinates of all 6 atoms:
Re 0.0000 0.0000 0.0000  12 Ni 2.82, 4 Te 2.95
Ni 0.3739 0.3739 0.3739  6 Ni 2.38-2.43
Ni 0.3739 0.3739 0.8782  6 Ni 2.38-2.43
Ni 0.3739 0.8782 0.3739  6 Ni 2.38-2.43
Ni 0.8782 0.3739 0.3739  6 Ni 2.38-2.43
Te 0.7500 0.7500 0.7500  12 Ni 2.82, 4 Re 2.95

=====

Here is a relaxed Li2PrNd2Sb2 crystal from the Alexandria database. Energies are from PBE-GGA.

The space-group type is R-3m. The formation energy from raw total energies is -0.619 eV per atom. The density of states at the Fermi level is 5.25 states/eV/f.u. The total DFT energy (no corrections) is -30.718 eV per cell.

Cell lengths 9.7485, 9.7485, 9.7485 Å; angles 28.47, 28.47, 28.47 degrees
Closest atoms and distances in Å follow each position.
Fractional coordinates of all 7 atoms:
Li 0.0932 0.0932 0.0932  3 Sb 2.77
Li 0.9068 0.9068 0.9068  3 Sb 2.77
Pr 0.5000 0.5000 0.5000  6 Sb 3.38, 6 Li 3.45, 2 Nd 3.66
Nd 0.3696 0.3696 0.3696  3 Li 3.19, 3 Sb 3.25, 3 Nd 3.44
Nd 0.6304 0.6304 0.6304  3 Li 3.19, 3 Sb 3.25, 3 Nd 3.44
Sb 0.2360 0.2360 0.2360  3 Li 2.77
Sb 0.7640 0.7640 0.7640  3 Li 2.77

=====

Here is a relaxed KZrCr2 crystal from the Alexandria database. Energies are from PBE-GGA.

The value obtained for the energy of formation from the pure elements is 0.80 eV/atom. The space-group type is P4/mmm. The value obtained for the polymorph energy (0 for the lowest one) is 0.82 eV/f.u. The density of states at the Fermi level is 3.12 states/eV/f.u. The total DFT energy (no corrections) is -25.686 eV per cell.

Cell lengths 3.3106, 3.3106, 9.0654 Å; angles 90.00, 90.00, 90.00 degrees
Closest atoms and distances in Å follow each position.
Fractional coordinates of all 4 atoms:
K 0.0000 0.0000 0.0000  4 K 3.31, 8 Cr 3.68
Zr 0.0000 0.0000 0.5000  8 Cr 2.89
Cr 0.5000 0.5000 0.3129  4 Zr 2.89
Cr 0.5000 0.5000 0.6871  4 Zr 2.89

=====

Here is a relaxed Ag2PO5 crystal from the Alexandria database. Energies are from PBE-GGA.

The space-group type is Cmcm. The formation energy from raw total energies is -0.643 eV per atom. The density of states at the Fermi level is 3.47 states/eV/f.u. The total DFT energy (no corrections) is -82.090 eV per cell.

Cell lengths 5.5827, 5.5827, 9.5457 Å; angles 90.00, 90.00, 134.84 degrees
Closest atoms and distances in Å follow each position.
Fractional coordinates of all 16 atoms:
Ag 0.1550 0.8450 0.5768  4 O 2.11-2.24
Ag 0.1550 0.8450 0.9232  4 O 2.11-2.24
Ag 0.8450 0.1550 0.0768  4 O 2.11-2.24
Ag 0.8450 0.1550 0.4232  4 O 2.11-2.24
P 0.1869 0.8131 0.2500  4 O 1.61-1.68
P 0.8131 0.1869 0.7500  4 O 1.61-1.68
O 0.0760 0.9240 0.1306  1 P 1.61
O 0.0760 0.9240 0.3694  1 P 1.61
O 0.2816 0.7184 0.7500  2 Ag 2.11, 2 P 2.17
O 0.3030 0.6970 0.1267  1 P 1.68
O 0.3030 0.6970 0.3733  1 P 1.68
O 0.6970 0.3030 0.6267  1 P 1.68
O 0.6970 0.3030 0.8733  1 P 1.68
O 0.7184 0.2816 0.2500  2 Ag 2.11, 2 P 2.17
O 0.9240 0.0760 0.6306  1 P 1.61
O 0.9240 0.0760 0.8694  1 P 1.61

=====

Here is a relaxed ReOsS3 crystal from the Alexandria database. Energies are from PBE-GGA.

The space-group type is Pm-3m. The value obtained for the polymorph energy (0 for the lowest one) is 0.00 eV/f.u. The formation energy from raw total energies is 1.433 eV per atom. The density of states at the Fermi level is 4.70 states/eV/f.u. The total DFT energy (no corrections) is -28.896 eV per cell.

Cell lengths 4.5315, 4.5315, 4.5315 Å; angles 90.00, 90.00, 90.00 degrees
Closest atoms and distances in Å follow each position.
Fractional coordinates of all 5 atoms:
Re 0.0000 0.0000 0.0000  6 S 2.27
Os 0.5000 0.5000 0.5000  12 S 3.20
S 0.0000 0.0000 0.5000  2 Re 2.27
S 0.0000 0.5000 0.0000  2 Re 2.27
S 0.5000 0.0000 0.0000  2 Re 2.27

=====

Here is a relaxed Cs2KPa2S7 crystal from the Alexandria database. Energies are from PBE-GGA.

The space-group type is I4/mmm. The formation energy from raw total energies is -1.442 eV per atom. The density of states at the Fermi level is 6.12 states/eV/f.u. The total DFT energy (no corrections) is -67.987 eV per cell.

Cell lengths 14.5666, 14.5666, 14.5666 Å; angles 158.99, 158.99, 29.88 degrees
Closest atoms and distances in Å follow each position.
Fractional coordinates of all 12 atoms:
Cs 0.1863 0.1863 0.0000  9 S 3.66-3.80
Cs 0.8137 0.8137 0.0000  9 S 3.66-3.80
K 0.0000 0.0000 0.0000  12 S 3.66-3.76
Pa 0.4055 0.4055 0.0000  6 S 2.51-2.66
Pa 0.5945 0.5945 0.0000  6 S 2.51-2.66
S 0.0897 0.5897 0.5000  2 Pa 2.66
S 0.3162 0.3162 0.0000  1 Pa 2.51
S 0.4103 0.9103 0.5000  2 Pa 2.66
S 0.5000 0.5000 0.0000  2 Pa 2.66
S 0.5897 0.0897 0.5000  2 Pa 2.66
S 0.6838 0.6838 0.0000  1 Pa 2.51
S 0.9103 0.4103 0.5000  2 Pa 2.66

=====

Here is a relaxed Pr4Nd3ScTe8 crystal from the Alexandria database. Energies are from PBE-GGA.

The space-group type is R-3m. The formation energy from raw total energies is -1.374 eV per atom. The density of states at the Fermi level is 12.64 states/eV/f.u. The total DFT energy (no corrections) is -86.863 eV per cell.

Cell lengths 8.9765, 8.9765, 8.9765 Å; angles 59.82, 59.82, 59.82 degrees
Closest atoms and distances in Å follow each position.
Fractional coordinates of all 16 atoms:
Pr 0.0000 0.0000 0.0000  6 Te 3.30
Pr 0.0000 0.5000 0.5000  6 Te 3.18
Pr 0.5000 0.0000 0.5000  6 Te 3.18
Pr 0.5000 0.5000 0.0000  6 Te 3.18
Nd 0.0000 0.0000 0.5000  6 Te 3.16
Nd 0.0000 0.5000 0.0000  6 Te 3.16
Nd 0.5000 0.0000 0.0000  6 Te 3.16
Sc 0.5000 0.5000 0.5000  6 Te 3.04
Te 0.2491 0.2491 0.2491  3 Nd 3.16, 3 Pr 3.18
Te 0.2584 0.7399 0.7399  1 Sc 3.04, 2 Nd 3.16, 3 Pr 3.18-3.30
Te 0.2601 0.2601 0.7416  1 Sc 3.04, 2 Nd 3.16, 3 Pr 3.18-3.30
Te 0.2601 0.7416 0.2601  1 Sc 3.04, 2 Nd 3.16, 3 Pr 3.18-3.30
Te 0.7399 0.2584 0.7399  1 Sc 3.04, 2 Nd 3.16, 3 Pr 3.18-3.30
Te 0.7399 0.7399 0.2584  1 Sc 3.04, 2 Nd 3.16, 3 Pr 3.18-3.30
Te 0.7416 0.2601 0.2601  1 Sc 3.04, 2 Nd 3.16, 3 Pr 3.18-3.30
Te 0.7509 0.7509 0.7509  3 Nd 3.16, 3 Pr 3.18

=====

Here is a relaxed Tl2PRu2 crystal from the Alexandria database. Energies are from PBE-GGA.

The value obtained for the energy of formation from the pure elements is 1.08 eV/atom. The space-group type is I4/mmm. The value obtained for the polymorph energy (0 for the lowest one) is 4.21 eV/f.u. The density of states at the Fermi level is 6.46 states/eV/f.u. The total DFT energy (no corrections) is -23.271 eV per cell.

Cell lengths 7.1807, 7.1807, 7.1807 Å; angles 148.47, 148.47, 45.20 degrees
Closest atoms and distances in Å follow each position.
Fractional coordinates of all 5 atoms:
Tl 0.2500 0.7500 0.5000  4 Tl 2.76, 4 Ru 2.88
Tl 0.7500 0.2500 0.5000  4 Tl 2.76, 4 Ru 2.88
P 0.0000 0.0000 0.0000  8 Ru 3.01
Ru 0.4100 0.4100 0.0000  1 Ru 2.39
Ru 0.5900 0.5900 0.0000  1 Ru 2.39

=====

Repeat the second record exactly.
Here is a relaxed Li2PrNd2Sb2 crystal from the Alexandria database. Energies are from PBE-GGA.

The space-group type is R-3m. The formation energy from raw total energies is -0.619 eV per atom. The density of states at the Fermi level is 5.25 states/eV/f.u. The total DFT energy (no corrections) is -30.718 eV per cell.

Cell lengths 9.7485, 9.7485, 9.7485 Å; angles 28.47, 28.47, 28.47 degrees
Closest atoms and distances in Å follow each position.
Fractional coordinates of all 7 atoms:
Li 0.0932 0.0932 0.0932  3 Sb 2.77
Li 0.9068 0.9068 0.9068  3 Sb 2.77
Pr 0.5000 0.5000 0.5000  6 Sb 3.38, 6 Li 3.45, 2 Nd 3.66
Nd 0.3696 0.3696 0.3696  3 Li 3.19, 3 Sb 3.25, 3 Nd 3.44
Nd 0.6304 0.6304 0.6304  3 Li 3.19, 3 Sb 3.25, 3 Nd 3.44
Sb 0.2360 0.2360 0.2360  3 Li 2.77
Sb 0.7640 0.7640 0.7640  3 Li 2.77